Run one
Compound: Ac2GdI
Source: Alexandria
Functional: PBE-GGA
Structure: optimized geometry

Results
**N(E_F)**: 1.252 states/eV per atom
**Size of the total moment**: 7.368 μB per cell

Lattice parameters (Å, degrees): 3.9196 3.9196 10.2431 90.00 90.00 90.00
Last column: nearest neighbours and their distance in Å.
Fractional positions:
1 Gd 0.5000 0.5000 0.0000  8 Ac 3.80, 4 Gd 3.92
2 Ac 0.0000 0.0000 0.7463  4 I 3.75, 4 Gd 3.80, 4 Ac 3.92
3 I 0.5000 0.5000 0.5000  8 Ac 3.75, 4 I 3.92
4 Ac 0.0000 0.0000 0.2537  4 I 3.75, 4 Gd 3.80, 4 Ac 3.92

***

Run two
Compound: Ac2GdI
Source: Alexandria
Functional: PBE-GGA
Structure: optimized geometry

Results
**N(E_F)**: 1.949 states/eV per atom
**Size of the total moment**: 8.271 μB per cell

Lattice parameters (Å, degrees): 3.8460 3.8460 12.8817 81.41 81.41 60.00
Last column: nearest neighbours and their distance in Å.
Fractional positions:
1 Gd 0.0000 0.0000 0.0000  2 Ac 3.59, 6 Gd 3.85
2 Ac 0.9056 0.9056 0.2833  3 I 3.53, 1 Gd 3.59, 6 Ac 3.85
3 I 0.5000 0.5000 0.5000  6 Ac 3.53, 6 I 3.85
4 Ac 0.0944 0.0944 0.7167  3 I 3.53, 1 Gd 3.59, 6 Ac 3.85

***

Winner for stability: run one